# 1
The following is a DFT calculation (PBEsol) of a geometry-optimized CsLuTa6Br18 structure.

Cell: 9.6333 9.6333 17.9411 Å, 90.00 90.00 120.00°
Space group P-31c (No. 163)
Inequivalent atoms, fractional coordinates:
Cs1 0.3333 0.6667 0.2500 (multiplicity 2)
Lu1 0.3333 0.6667 0.7500 (multiplicity 2)
Ta1 0.0391 0.1891 0.5655 (multiplicity 12)
Br1 0.0473 0.2359 0.3377 (multiplicity 12)
Br2 0.0867 0.4498 0.6622 (multiplicity 12)
Br3 0.1400 0.4222 0.0007 (multiplicity 12)

- formation energy (no corrections) (eV per formula unit) = -29.1
- volume (Å³ per cell) = 1441.9
- VASP energy (eV per atom) = -5.54
- crystal system = trigonal


# 2
The following is a DFT calculation (PBEsol) of a geometry-optimized Cs2MnBr4 structure.

Cell: 10.147 7.623 13.631 Å, 90.00 90.00 90.00°
Space group Pnma (No. 62)
Inequivalent atoms, fractional coordinates:
Cs1 0.023 0.250 0.169 (multiplicity 4)
Cs2 0.129 0.750 0.413 (multiplicity 4)
Mn1 0.231 0.750 0.077 (multiplicity 4)
Br1 0.009 0.250 0.902 (multiplicity 4)
Br2 0.170 0.508 0.654 (multiplicity 8)
Br3 0.185 0.250 0.407 (multiplicity 4)

- formation energy (no corrections) (eV per formula unit) = -9.4
- volume (Å³ per cell) = 1054.4
- VASP energy (eV per atom) = -4.08
- crystal system = orthorhombic


# 3
The following is a DFT calculation (PBEsol) of a geometry-optimized CsMn2Br structure.

Cell: 7.788 7.788 7.788 Å, 90.00 90.00 90.00°
Space group Fm-3m (No. 225)
Inequivalent atoms, fractional coordinates:
Cs1 0.000 0.000 0.000 (multiplicity 4)
Mn1 0.250 0.250 0.250 (multiplicity 8)
Br1 0.000 0.000 0.500 (multiplicity 4)

- formation energy (no corrections) (eV per formula unit) = 4.6
- volume (Å³ per cell) = 472.3
- VASP energy (eV per atom) = -4.43
- crystal system = cubic


# 4
The following is a DFT calculation (PBEsol) of a geometry-optimized Cs3MnBr5 structure.

Cell: 9.487 9.487 15.224 Å, 90.00 90.00 90.00°
Space group I4/mcm (No. 140)
Inequivalent atoms, fractional coordinates:
Cs1 0.000 0.000 0.250 (multiplicity 4)
Cs2 0.158 0.342 0.000 (multiplicity 8)
Mn1 0.000 0.500 0.250 (multiplicity 4)
Br1 0.000 0.000 0.000 (multiplicity 4)
Br2 0.146 0.354 0.346 (multiplicity 16)

- formation energy (no corrections) (eV per formula unit) = -13.0
- volume (Å³ per cell) = 1370.2
- VASP energy (eV per atom) = -3.88
- crystal system = tetragonal


# 5
The following is a DFT calculation (PBEsol) of a geometry-optimized CsMnBr2 structure.

Cell: 7.974 7.974 7.974 Å, 90.00 90.00 90.00°
Space group Fm-3m (No. 225)
Inequivalent atoms, fractional coordinates:
Cs1 0.000 0.000 0.000 (multiplicity 4)
Mn1 0.000 0.000 0.500 (multiplicity 4)
Br1 0.250 0.250 0.250 (multiplicity 8)

- formation energy (no corrections) (eV per formula unit) = -1.5
- volume (Å³ per cell) = 507.1
- VASP energy (eV per atom) = -3.98
- crystal system = cubic


# 6
The following is a DFT calculation (PBEsol) of a geometry-optimized Cs2MnSiBr structure.

Cell: 6.825 6.825 4.740 Å, 90.00 90.00 90.00°
Space group P4/mmm (No. 123)
Inequivalent atoms, fractional coordinates:
Cs1 0.000 0.500 0.000 (multiplicity 2)
Mn1 0.000 0.000 0.000 (multiplicity 1)
Si1 0.500 0.500 0.500 (multiplicity 1)
Br1 0.000 0.000 0.500 (multiplicity 1)

- formation energy (no corrections) (eV per formula unit) = 3.1
- volume (Å³ per cell) = 220.8
- VASP energy (eV per atom) = -3.24
- crystal system = tetragonal